[1]
MgCdNi | GGA-PBE | relaxed

Results
E_form (eV per atom): 0.043
ρ (g/cm³): 5.6
Offset from the most stable computed form (meV per atom): 153
DFT total energy (eV/atom): -2.721

Cell: 6.1513 6.1513 6.1513 Å, 90.00 90.00 90.00°
Closest atoms and distances in Å follow each position.
Space group F-43m (No. 216)
Inequivalent atoms, fractional coordinates:
1 Mg 0.0000 0.0000 0.0000 (multiplicity 4)  4 Ni 2.66
2 Cd 0.0000 0.0000 0.5000 (multiplicity 4)  4 Ni 2.66
3 Ni 0.2500 0.2500 0.7500 (multiplicity 4)  4 Cd 2.66, 4 Mg 2.66


[2]
Cs2ZnN | GGA-PBE | relaxed

Results
ρ (g/cm³): 4.2
DFT total energy (eV/atom): -1.971

Cell: 8.1472 8.1472 8.1472 Å, 90.00 90.00 90.00°
Closest atoms and distances in Å follow each position.
Space group Fm-3m (No. 225)
Inequivalent atoms, fractional coordinates:
1 Cs 0.2500 0.2500 0.2500 (multiplicity 8)  4 Zn 3.53, 4 N 3.53
2 Zn 0.0000 0.0000 0.0000 (multiplicity 4)  8 Cs 3.53
3 N 0.0000 0.0000 0.5000 (multiplicity 4)  8 Cs 3.53


[3]
CaPaRh2 | GGA-PBE | relaxed

Results
E_form (eV per atom): -0.686
ρ (g/cm³): 9.2
Offset from the most stable computed form (meV per atom): 0
DFT total energy (eV/atom): -7.236

Cell: 3.4514 3.4514 7.2091 Å, 90.00 90.00 90.00°
Closest atoms and distances in Å follow each position.
Space group P4/mmm (No. 123)
Inequivalent atoms, fractional coordinates:
1 Ca 0.0000 0.0000 0.0000 (multiplicity 1)  8 Rh 3.23, 4 Ca 3.45, 2 Pa 3.60
2 Pa 0.0000 0.0000 0.5000 (multiplicity 1)  8 Rh 2.86
3 Rh 0.5000 0.5000 0.2938 (multiplicity 2)  4 Pa 2.86, 1 Rh 2.97


[4]
Ho3TaN4 | GGA-PBE | relaxed

Results
ρ (g/cm³): 11.5
DFT total energy (eV/atom): -8.936

Cell: 6.7164 9.4357 3.3301 Å, 90.00 90.00 90.00°
Closest atoms and distances in Å follow each position.
Space group Cmmm (No. 65)
Inequivalent atoms, fractional coordinates:
1 Ho 0.0000 0.0000 0.0000 (multiplicity 2)  6 N 2.47-2.50
2 Ho 0.2500 0.2500 0.5000 (multiplicity 4)  6 N 2.36-2.37
3 Ta 0.0000 0.5000 0.0000 (multiplicity 2)  6 N 2.22-2.27
4 N 0.0000 0.2645 0.0000 (multiplicity 4)  1 Ta 2.22, 4 Ho 2.37
5 N 0.2293 0.5000 0.5000 (multiplicity 4)  2 Ta 2.27, 4 Ho 2.36-2.47


[5]
AsHSe2 | GGA-PBE | relaxed

Results
ρ (g/cm³): 3.3
Offset from the most stable computed form (meV per atom): 0
DFT total energy (eV/atom): -3.800

Cell: 10.6006 8.1294 5.5317 Å, 90.00 90.00 90.00°
Closest atoms and distances in Å follow each position.
Space group Pna2_1 (No. 33)
Inequivalent atoms, fractional coordinates:
1 As 0.0529 0.1414 0.0000 (multiplicity 4)  3 Se 2.42-2.47
2 H 0.0074 0.5490 0.7660 (multiplicity 4)  1 Se 1.51
3 Se 0.0959 0.6400 0.5994 (multiplicity 4)  1 H 1.51
4 Se 0.1227 0.0343 0.3959 (multiplicity 4)  2 As 2.42-2.47


[6]
Tb6YHo6 | GGA-PBE | relaxed

Results
E_form (eV per atom): 0.280
ρ (g/cm³): 7.8
DFT total energy (eV/atom): -4.467

Cell: 6.6439 6.6439 11.3307 Å, 90.00 90.00 120.00°
Closest atoms and distances in Å follow each position.
Space group P6/mmm (No. 191)
Inequivalent atoms, fractional coordinates:
1 Tb 0.0000 0.0000 0.1550 (multiplicity 2)  1 Tb 3.51, 6 Ho 3.51, 1 Y 3.91
2 Tb 0.3333 0.6667 0.0000 (multiplicity 2)  6 Ho 3.48, 3 Tb 3.84
3 Tb 0.3333 0.6667 0.5000 (multiplicity 2)  6 Ho 3.36
4 Y 0.0000 0.0000 0.5000 (multiplicity 1)  8 Tb 3.84-3.91
5 Ho 0.0000 0.5000 0.2562 (multiplicity 6)  4 Ho 3.32, 6 Tb 3.36-3.51


[7]
Ca3MgCu | GGA-PBE | relaxed

Results
E_form (eV per atom): 0.329
ρ (g/cm³): 1.8
Offset from the most stable computed form (meV per atom): 382
DFT total energy (eV/atom): -2.010

Cell: 4.6735 4.6735 17.9571 Å, 90.00 90.00 90.00°
Closest atoms and distances in Å follow each position.
Space group I4mm (No. 107)
Inequivalent atoms, fractional coordinates:
1 Ca 0.0000 0.0000 0.0000 (multiplicity 2)  1 Mg 3.42, 4 Cu 3.46, 4 Ca 3.77
2 Ca 0.0000 0.5000 0.1645 (multiplicity 4)  2 Cu 3.03, 4 Ca 3.30
3 Mg 0.0000 0.0000 0.8093 (multiplicity 2)  5 Ca 3.42-3.50
4 Cu 0.0000 0.0000 0.5575 (multiplicity 2)  4 Ca 3.03


Question: What is the DFT total energy in the fifth record?
Answer: -3.800 eV/atom


Question: Among the records above, which one has the highest DFT total energy?
Answer: Cs2ZnN


Question: Look up the ρ of the third one.
Answer: 9.2 g/cm³